Record 1
A plane-wave DFT calculation with PBE-GGA was carried out for crystalline GdHoPtRh at its relaxed geometry.

For the size of the total moment, the calculation gives 28.04 Bohr magnetons per cell. The value obtained for the volume is 334.1 Å³ per cell. The value obtained for the mass density is 12.3 g cm⁻³. The energy relative to the elements comes out at -1.021 eV per atom. For the total energy, the calculation gives -9.034 eV per atom. The calculation puts the density of states at the Fermi level at 6.509 states/eV per cell.

The structure belongs to space group F-43m (No. 216); the cell edges are 6.939, 6.939 and 6.939 Å and the angles 90.00°, 90.00° and 90.00°. The distinct sites, in fractional coordinates, are Gd at (0.000, 0.000, 0.000), Ho at (0.000, 0.000, 0.500), Pt at (0.250, 0.250, 0.750) and Rh at (0.250, 0.250, 0.250).


Record 2
A plane-wave DFT calculation with PBE-GGA was carried out for crystalline GdHoRuPt at its relaxed geometry.

For the size of the total moment, the calculation gives 27.74 Bohr magnetons per cell. The value obtained for the volume is 328.9 Å³ per cell. The value obtained for the mass density is 12.5 g cm⁻³. The energy relative to the elements comes out at -0.761 eV per atom. For the total energy, the calculation gives -9.255 eV per atom. The calculation puts the density of states at the Fermi level at 8.716 states/eV per cell.

The structure belongs to space group F-43m (No. 216); the cell edges are 6.903, 6.903 and 6.903 Å and the angles 90.00°, 90.00° and 90.00°. The distinct sites, in fractional coordinates, are Gd at (0.000, 0.000, 0.000), Ho at (0.000, 0.000, 0.500), Ru at (0.250, 0.250, 0.750) and Pt at (0.250, 0.250, 0.250).


Record 3
A plane-wave DFT calculation with PBE-GGA was carried out for crystalline GdHoTlPt at its relaxed geometry.

For the size of the total moment, the calculation gives 28.50 Bohr magnetons per cell. The value obtained for the volume is 389.8 Å³ per cell. The value obtained for the mass density is 12.3 g cm⁻³. The energy relative to the elements comes out at -0.686 eV per atom. For the total energy, the calculation gives -7.452 eV per atom. The calculation puts the density of states at the Fermi level at 14.033 states/eV per cell.

The structure belongs to space group F-43m (No. 216); the cell edges are 7.305, 7.305 and 7.305 Å and the angles 90.00°, 90.00° and 90.00°. The distinct sites, in fractional coordinates, are Gd at (0.000, 0.000, 0.000), Ho at (0.000, 0.000, 0.500), Tl at (0.250, 0.250, 0.250) and Pt at (0.250, 0.250, 0.750).